VASP calculation (PBE-GGA) on Al2NiPt2 after structural relaxation.

Lattice parameters (Å, degrees): 3.7499 3.7499 11.5302 90.00 90.00 90.00
Last column: nearest neighbours and their distance in Å.
Space group I4/mmm (No. 139)
Unique sites:
Al 0.0000 0.5000 0.2500 x4  4 Pt 2.46, 4 Al 2.65
Ni 0.0000 0.0000 0.0000 x2  8 Pt 2.95
Pt 0.0000 0.0000 0.3881 x4  4 Al 2.46, 1 Pt 2.58

Computed properties:
M_tot in μB per formula unit: 0.63
Uncorrected energy in eV for the cell shown: -54.5